CrHgP2F | the Alexandria database | PBE+U | optimized geometry; crystal system = tetragonal; energy = -3.915 eV per atom; mass density = 6.7 g cm⁻³; DOS(E_F) = 4.3 states/eV/cell; distance to the lowest polymorph of the same formula = 0 meV per atom
1.0
4.576 0.000 0.000
0.000 4.576 0.000
0.000 0.000 3.970
Cr Hg P F
1 1 2 1
Direct
0.000 0.000 0.000
0.500 0.500 0.500
0.000 0.500 0.000
0.500 0.000 0.000
0.000 0.000 0.500